No. 1
A plane-wave DFT calculation with GGA-PBE was carried out for a relaxed TiNbCl3 crystal.

Cell: 4.9784 4.9784 4.9784 Å, 90.00 90.00 90.00°
Sites, in units of the cell vectors:
Ti1 0.0000 0.0000 0.0000
Nb1 0.5000 0.5000 0.5000
Cl1 0.0000 0.5000 0.5000
Cl2 0.5000 0.0000 0.5000
Cl3 0.5000 0.5000 0.0000

crystal system	cubic
energy relative to the elements, uncorrected	160.4	meV per atom
DFT total energy	-4.540	eV per atom
ΔE to the lowest computed polymorph	218	meV per atom
density	3.33	g/cm³

=====

No. 2
A plane-wave DFT calculation with GGA-PBE was carried out for a relaxed Ti2NbCl crystal.

Cell: 4.5804 4.5804 4.5804 Å, 60.00 60.00 60.00°
Sites, in units of the cell vectors:
Ti1 0.2500 0.2500 0.2500
Ti2 0.7500 0.7500 0.7500
Nb1 0.0000 0.0000 0.0000
Cl1 0.5000 0.5000 0.5000

crystal system	cubic
energy relative to the elements, uncorrected	402.4	meV per atom
DFT total energy	-6.524	eV per atom
ΔE to the lowest computed polymorph	247	meV per atom
density	5.48	g/cm³

=====

No. 3
A plane-wave DFT calculation with GGA-PBE was carried out for a relaxed TiNb2Cl5 crystal.

Cell: 5.9731 5.9900 6.2890 Å, 79.69 68.44 67.54°
Sites, in units of the cell vectors:
Ti1 0.0000 0.0000 0.0000
Nb1 0.1012 0.6241 0.7682
Nb2 0.6878 0.0381 0.7686
Cl1 0.0428 0.8587 0.4003
Cl2 0.2524 0.2832 0.0459
Cl3 0.4141 0.8307 0.6962
Cl4 0.7191 0.7660 0.1089
Cl5 0.9231 0.3220 0.6958

crystal system	triclinic
energy relative to the elements, uncorrected	-789.9	meV per atom
DFT total energy	-5.448	eV per atom
density	3.53	g/cm³